VASP calculation (GGA-PBE) on an optimized crystal structure of Pr6MgSn3.

formation enthalpy at 0 K = -0.51 eV/atom
DFT total energy = -4.73 eV per atom
calculated density = 6.30 g cm⁻³
space-group type = Cmcm, No. 63

a b c (Å): 8.982 8.485 8.485
angles (deg): 90.09 90.00 90.00
Fractional coordinates of all 20 atoms:
1 Pr 0.149 0.675 0.675
2 Pr 0.649 0.675 0.675
3 Pr 0.399 0.505 0.995
4 Pr 0.899 0.995 0.505
5 Pr 0.154 0.166 0.834
6 Pr 0.643 0.166 0.834
7 Pr 0.143 0.834 0.166
8 Pr 0.654 0.834 0.166
9 Pr 0.399 0.005 0.495
10 Pr 0.899 0.495 0.005
11 Pr 0.149 0.325 0.325
12 Pr 0.649 0.325 0.325
13 Mg 0.899 0.379 0.621
14 Mg 0.399 0.621 0.379
15 Sn 0.399 0.872 0.870
16 Sn 0.899 0.870 0.872
17 Sn 0.399 0.372 0.628
18 Sn 0.899 0.628 0.372
19 Sn 0.899 0.128 0.130
20 Sn 0.399 0.130 0.128